## i
Compound: TaVPt2
Source: Alexandria via LeMat-Bulk
Functional: PBE-GGA
Structure: relaxed

Summary:
total magnetization = 1.0 μB per formula unit
SG = No. 74
Fermi-level density of states = 0.828 states/eV/atom
calculated volume = 126 Å³/cell
crystal system = orthorhombic

Cell: 5.5133 5.5133 5.5133 Å, 120.11 104.69 104.17°
Sites, in units of the cell vectors:
Ta: 0.3092 0.0592 0.2500
Ta: 0.6908 0.9408 0.7500
V: 0.2852 0.5352 0.7500
V: 0.7148 0.4648 0.2500
Pt: 0.2046 0.0000 0.7046
Pt: 0.2046 0.5000 0.2046
Pt: 0.7954 0.0000 0.2954
Pt: 0.7954 0.5000 0.7954

## ii
Compound: TaVPt2
Source: Alexandria via LeMat-Bulk
Functional: PBE-GGA
Structure: relaxed

Summary:
total magnetization = 0.0 μB per formula unit
SG = No. 65
Fermi-level density of states = 0.669 states/eV/atom
calculated volume = 62 Å³/cell
crystal system = orthorhombic

Cell: 4.8931 4.8931 2.7681 Å, 90.00 90.00 111.23°
Sites, in units of the cell vectors:
Ta: 0.0000 0.0000 0.0000
V: 0.5000 0.5000 0.0000
Pt: 0.0000 0.5000 0.5000
Pt: 0.5000 0.0000 0.5000

Quick one: least stable of them? i

## i
Compound: TaVPt
Source: Alexandria via LeMat-Bulk
Functional: PBE-GGA
Structure: relaxed

Summary:
total magnetization = 0.3 μB per formula unit
SG = No. 107
Fermi-level density of states = 1.427 states/eV/atom
calculated volume = 48 Å³/cell
crystal system = tetragonal

Cell: 5.0467 5.0467 5.0467 Å, 142.30 142.30 54.38°
Sites, in units of the cell vectors:
Ta: 0.0000 0.0000 0.0000
V: 0.6587 0.6587 0.0000
Pt: 0.3241 0.3241 0.0000

## ii
Compound: TaVPt
Source: Alexandria via LeMat-Bulk
Functional: PBE-GGA
Structure: relaxed

Summary:
total magnetization = 1.4 μB per formula unit
SG = No. 156
Fermi-level density of states = 1.258 states/eV/atom
calculated volume = 48 Å³/cell
crystal system = trigonal

Cell: 4.4860 4.4860 2.7257 Å, 90.00 90.00 120.00°
Sites, in units of the cell vectors:
Ta: 0.0000 0.0000 0.0000
V: 0.3333 0.6667 0.2862
Pt: 0.6667 0.3333 0.6476

Quick one: least stable of them? ii

## i
Compound: TaPtW2
Source: Alexandria via LeMat-Bulk
Functional: PBE-GGA
Structure: relaxed

Summary:
total magnetization = 0.0 μB per formula unit
SG = No. 123
Fermi-level density of states = 0.840 states/eV/atom
calculated volume = 66 Å³/cell
crystal system = tetragonal

Cell: 2.7478 2.7478 8.7421 Å, 90.00 90.00 90.00°
Sites, in units of the cell vectors:
Ta: 0.0000 0.0000 0.0000
Pt: 0.0000 0.0000 0.5000
W: 0.5000 0.5000 0.2632
W: 0.5000 0.5000 0.7368

## ii
Compound: TaPtW2
Source: Alexandria via LeMat-Bulk
Functional: PBE-GGA
Structure: relaxed

Summary:
total magnetization = 0.0 μB per formula unit
SG = No. 12
Fermi-level density of states = 1.053 states/eV/atom
calculated volume = 66 Å³/cell
crystal system = monoclinic

Cell: 5.3929 5.3929 2.7371 Å, 99.89 99.89 118.50°
Sites, in units of the cell vectors:
Ta: 0.0000 0.0000 0.0000
Pt: 0.5000 0.5000 0.0000
W: 0.0000 0.5000 0.5000
W: 0.5000 0.0000 0.5000

## iii
Compound: TaPtW2
Source: Alexandria via LeMat-Bulk
Functional: PBE-GGA
Structure: relaxed

Summary:
total magnetization = 0.0 μB per formula unit
SG = No. 122
Fermi-level density of states = 1.104 states/eV/atom
calculated volume = 202 Å³/cell
crystal system = tetragonal

Cell: 7.1636 7.1636 7.1636 Å, 131.53 131.53 70.97°
Sites, in units of the cell vectors:
Ta: 0.0000 0.0000 0.0000
Ta: 0.7500 0.2500 0.5000
Pt: 0.2500 0.7500 0.5000
Pt: 0.5000 0.5000 0.0000
W: 0.1476 0.6250 0.0226
W: 0.3750 0.3976 0.5226
W: 0.6024 0.1250 0.9774
W: 0.8750 0.8524 0.4774

## iv
Compound: TaPtW2
Source: Alexandria via LeMat-Bulk
Functional: PBE-GGA
Structure: relaxed

Summary:
total magnetization = 0.0 μB per formula unit
SG = No. 6
Fermi-level density of states = 0.647 states/eV/atom
calculated volume = 66 Å³/cell
crystal system = monoclinic

Cell: 2.7580 4.2025 5.7555 Å, 90.00 97.31 90.00°
Sites, in units of the cell vectors:
Ta: 0.0000 0.0000 0.0000
Pt: 0.4341 0.5000 0.7552
W: 0.4635 0.5000 0.2593
W: 0.8658 0.0000 0.4886

Quick one: least stable of them? iii

## i
Compound: TaPtW2
Source: Alexandria via LeMat-Bulk
Functional: PBE-GGA
Structure: relaxed

Summary:
total magnetization = 0.0 μB per formula unit
SG = No. 47
Fermi-level density of states = 0.878 states/eV/atom
calculated volume = 66 Å³/cell
crystal system = orthorhombic

Cell: 3.8891 3.9577 4.2685 Å, 90.00 90.00 90.00°
Sites, in units of the cell vectors:
Ta: 0.0000 0.0000 0.0000
Pt: 0.5000 0.5000 0.0000
W: 0.0000 0.5000 0.5000
W: 0.5000 0.0000 0.5000

## ii
Compound: TaPtW2
Source: Alexandria via LeMat-Bulk
Functional: PBE-GGA
Structure: relaxed

Summary:
total magnetization = 0.0 μB per formula unit
SG = No. 65
Fermi-level density of states = 0.629 states/eV/atom
calculated volume = 66 Å³/cell
crystal system = orthorhombic

Cell: 5.0957 5.0957 2.7420 Å, 90.00 90.00 112.51°
Sites, in units of the cell vectors:
Ta: 0.0000 0.0000 0.0000
Pt: 0.5000 0.5000 0.0000
W: 0.0000 0.5000 0.5000
W: 0.5000 0.0000 0.5000

Quick one: least stable of them? ii

## i
Compound: TaPtW2
Source: Alexandria via LeMat-Bulk
Functional: PBE-GGA
Structure: relaxed

Summary:
total magnetization = 0.0 μB per formula unit
SG = No. 225
Fermi-level density of states = 1.213 states/eV/atom
calculated volume = 66 Å³/cell
crystal system = cubic

Cell: 4.5390 4.5390 4.5390 Å, 60.00 60.00 60.00°
Sites, in units of the cell vectors:
Ta: 0.0000 0.0000 0.0000
Pt: 0.5000 0.5000 0.5000
W: 0.2500 0.2500 0.2500
W: 0.7500 0.7500 0.7500

## ii
Compound: TaPtW2
Source: Alexandria via LeMat-Bulk
Functional: PBE-GGA
Structure: relaxed

Summary:
total magnetization = 0.0 μB per formula unit
SG = No. 35
Fermi-level density of states = 0.568 states/eV/atom
calculated volume = 66 Å³/cell
crystal system = orthorhombic

Cell: 2.7712 2.7712 8.8180 Å, 90.00 90.00 104.38°
Sites, in units of the cell vectors:
Ta: 0.0000 0.0000 0.0000
Pt: 0.5000 0.5000 0.2484
W: 0.0000 0.0000 0.4913
W: 0.5000 0.5000 0.7412

Quick one: least stable of them? i

## i
Compound: TaPtW2
Source: Alexandria via LeMat-Bulk
Functional: PBE-GGA
Structure: relaxed

Summary:
total magnetization = 0.0 μB per formula unit
SG = No. 8
Fermi-level density of states = 0.576 states/eV/atom
calculated volume = 66 Å³/cell
crystal system = monoclinic

Cell: 4.9588 4.9588 5.0916 Å, 97.82 97.82 32.15°
Sites, in units of the cell vectors:
Ta: 0.0000 0.0000 0.0000
Pt: 0.7444 0.7444 0.2357
W: 0.2406 0.2406 0.7294
W: 0.4835 0.4835 0.4945

## ii
Compound: TaPtW2
Source: Alexandria via LeMat-Bulk
Functional: PBE-GGA
Structure: relaxed

Summary:
total magnetization = 0.0 μB per formula unit
SG = No. 166
Fermi-level density of states = 0.706 states/eV/atom
calculated volume = 67 Å³/cell
crystal system = trigonal

Cell: 9.8275 9.8275 9.8275 Å, 16.49 16.49 16.49°
Sites, in units of the cell vectors:
Ta: 0.0000 0.0000 0.0000
Pt: 0.5000 0.5000 0.5000
W: 0.2462 0.2462 0.2462
W: 0.7538 0.7538 0.7538

## iii
Compound: TaPtW2
Source: Alexandria via LeMat-Bulk
Functional: PBE-GGA
Structure: relaxed

Summary:
total magnetization = 0.0 μB per formula unit
SG = No. 10
Fermi-level density of states = 0.920 states/eV/atom
calculated volume = 66 Å³/cell
crystal system = monoclinic

Cell: 2.7429 4.6750 5.1919 Å, 90.00 97.91 90.00°
Sites, in units of the cell vectors:
Ta: 0.0000 0.0000 0.0000
Pt: 0.5000 0.0000 0.5000
W: 0.2550 0.5000 0.7568
W: 0.7450 0.5000 0.2432

## iv
Compound: TaPtW2
Source: Alexandria via LeMat-Bulk
Functional: PBE-GGA
Structure: relaxed

Summary:
total magnetization = 0.0 μB per formula unit
SG = No. 160
Fermi-level density of states = 0.811 states/eV/atom
calculated volume = 66 Å³/cell
crystal system = trigonal

Cell: 9.8178 9.8178 9.8178 Å, 16.49 16.49 16.49°
Sites, in units of the cell vectors:
Ta: 0.0000 0.0000 0.0000
Pt: 0.2527 0.2527 0.2527
W: 0.5053 0.5053 0.5053
W: 0.7542 0.7542 0.7542

Quick one: least stable of them? ii